Sm2PaSe5 | PBE | optimized geometry

- E_form (uncorrected): -1.6271 eV/atom
- Energy above the most stable polymorph in this dataset: 63.2 meV per atom
- Calculated density: 5.58 Mg/m³

abc: 5.682 7.523 13.939
angles: 90.00 90.00 112.19
Last column: magnetic moment on the atom in μB.
Sites, in units of the cell vectors:
Sm (0.854, 0.707, 0.443)  0.01
Sm (0.854, 0.707, 0.057)  0.01
Sm (0.146, 0.293, 0.557)  0.01
Sm (0.146, 0.293, 0.943)  0.01
Pa (0.800, 0.600, 0.750)  1.01
Pa (0.200, 0.400, 0.250)  1.01
Se (0.953, 0.906, 0.878)  -0.02
Se (0.953, 0.906, 0.622)  -0.02
Se (0.316, 0.631, 0.424)  -0.01
Se (0.316, 0.631, 0.076)  -0.01
Se (0.746, 0.493, 0.250)  -0.02
Se (0.254, 0.507, 0.750)  -0.02
Se (0.684, 0.369, 0.576)  -0.01
Se (0.684, 0.369, 0.924)  -0.01
Se (0.047, 0.094, 0.122)  -0.02
Se (0.047, 0.094, 0.378)  -0.02